Al2TlCoPd | GGA-PBE | relaxed

Structure (POSCAR):
```
Al2TlCoPd
1.0
4.484 0.000 0.000
0.000 4.886 0.000
0.000 0.000 4.484
Tl Co Al Pd
1 1 2 1
Cartesian
2.242 2.443 2.242
0.000 0.000 0.000
0.000 0.000 2.242
2.242 0.000 0.000
0.000 2.443 0.000
```

## Properties
Raw total energy, hartree per atom: -0.1556
ρ, Mg/m³: 7.16
SG: No. 123